Entry from Alexandria: CdIn2Pt after structural relaxation (PBE).

Properties
- energy of formation from the pure elements (kcal/mol of atoms) = -3.0
- space-group type = No. 12

a = 4.963 Å, b = 4.963 Å, c = 5.102 Å
α = 78.34°, β = 78.34°, γ = 44.29°
Element x y z (fractional)
Cd1 0.250 0.250 0.250
Pt1 0.750 0.750 0.750
In1 0.015 0.015 0.973
In2 0.485 0.485 0.527


Entry from Alexandria: Rb2CdInPt after structural relaxation (PBE).

Properties
- energy of formation from the pure elements (kcal/mol of atoms) = -0.6
- space-group type = No. 123

a = 6.505 Å, b = 6.505 Å, c = 5.193 Å
α = 90.00°, β = 90.00°, γ = 90.00°
Element x y z (fractional)
Cd1 0.500 0.500 0.500
Rb1 0.000 0.500 0.000
Rb2 0.500 0.000 0.000
Pt1 0.000 0.000 0.000
In1 0.000 0.000 0.500